1.
VASP calculation (PBE) on a relaxed ErTaTl crystal.

Lattice parameters (Å, degrees): 4.9501 4.9501 4.9501 60.00 60.00 60.00
Last column: nearest neighbours and their distance in Å.
Sites, in units of the cell vectors:
Er1 0.0000 0.0000 0.0000  4 Ta 3.03, 4 Tl 3.03
Ta1 0.7500 0.7500 0.7500  4 Er 3.03
Tl1 0.2500 0.2500 0.2500  4 Er 3.03

As for the symmetry: F-43m. The value obtained for the density is 10.7 g/cm3. The calculation puts the electronic total energy at -5.08 eV/atom.


2.
VASP calculation (PBE) on a relaxed ErTaTl crystal.

Lattice parameters (Å, degrees): 4.8190 4.8190 4.8190 60.00 60.00 60.00
Last column: nearest neighbours and their distance in Å.
Sites, in units of the cell vectors:
Er1 0.0000 0.0000 0.0000  4 Tl 2.95
Ta1 0.5000 0.5000 0.5000  4 Tl 2.95
Tl1 0.2500 0.2500 0.2500  4 Ta 2.95, 4 Er 2.95

As for the symmetry: F-43m. The value obtained for the density is 11.6 g/cm3. The calculation puts the electronic total energy at -5.48 eV/atom.


> The highest electronic total energy belongs to which entry?

number 1


Please write out number 1 again, unchanged.
VASP calculation (PBE) on a relaxed ErTaTl crystal.

Lattice parameters (Å, degrees): 4.9501 4.9501 4.9501 60.00 60.00 60.00
Last column: nearest neighbours and their distance in Å.
Sites, in units of the cell vectors:
Er1 0.0000 0.0000 0.0000  4 Ta 3.03, 4 Tl 3.03
Ta1 0.7500 0.7500 0.7500  4 Er 3.03
Tl1 0.2500 0.2500 0.2500  4 Er 3.03

As for the symmetry: F-43m. The value obtained for the density is 10.7 g/cm3. The calculation puts the electronic total energy at -5.08 eV/atom.